DFT (PBE-GGA) results for crystalline ThZnO at its relaxed geometry.

a b c (Å): 4.049 4.049 8.407
angles (deg): 76.06 76.06 60.00
Site moments in Bohr magnetons follow the coordinates.
Element x y z (fractional)
1 Th 0.602 0.602 0.194  0.14
2 Th 0.398 0.398 0.806  0.14
3 O 0.700 0.700 0.901  0.01
4 O 0.300 0.300 0.099  0.01
5 Zn 0.846 0.846 0.462  0.01
6 Zn 0.154 0.154 0.538  0.01

Computed properties:
- formation energy from raw total energies (meV/atom) = -1869
- M_tot (Bohr magnetons per cell) = 0.7
- DFT total energy (eV per atom) = -6.419